Material: BeVO4
Method: DFT, PBE with a Hubbard U
State: optimized geometry

Cell: 5.4303 5.4303 5.4615 Å, 119.81 119.81 90.00°
Positions (direct):
Be 0.7500 0.2500 0.5000
O 0.6303 0.3701 0.2589
O 0.1113 0.3697 0.7411
O 0.6299 0.3714 0.7411
O 0.6286 0.8887 0.2589
V 0.5000 0.5000 0.0000

Properties
Energy   -41.78 eV/cell
Space-group type   I-4m2, No. 119